VASP calculation (PBE) on NaLiCaTl after structural relaxation.

Computed properties:
Final energy in eV per cell: -8.20
Space-group type: F-43m (216)
Density of states at the Fermi level in states/eV per cell: 3.5

POSCAR file:
```
NaLiCaTl
1.0
0.000 3.785 3.785
3.785 0.000 3.785
3.785 3.785 0.000
Na Li Ca Tl
1 1 1 1
Direct
0.000 0.000 0.000
0.250 0.250 0.250
0.750 0.750 0.750
0.500 0.500 0.500
```

***

VASP calculation (PBE) on NaLi2Ca2Tl5 after structural relaxation.

Computed properties:
Final energy in eV per cell: -46.81
Space-group type: P4/mbm (127)
Density of states at the Fermi level in states/eV per cell: 9.8

POSCAR file:
```
NaLi2Ca2Tl5
1.0
11.541 0.000 0.000
0.000 11.541 0.000
0.000 0.000 3.881
Na Li Ca Tl
2 4 4 10
Direct
0.000 0.000 0.000
0.500 0.500 0.000
0.121 0.379 0.000
0.379 0.879 0.000
0.621 0.121 0.000
0.879 0.621 0.000
0.176 0.676 0.000
0.324 0.176 0.000
0.676 0.824 0.000
0.824 0.324 0.000
0.000 0.500 0.500
0.067 0.207 0.500
0.207 0.933 0.500
0.293 0.433 0.500
0.433 0.707 0.500
0.500 0.000 0.500
0.567 0.293 0.500
0.707 0.567 0.500
0.793 0.067 0.500
0.933 0.793 0.500
```

***

VASP calculation (PBE) on NaLi2CaZn after structural relaxation.

Computed properties:
Final energy in eV per cell: -7.85
Space-group type: P4/mmm (123)
Density of states at the Fermi level in states/eV per cell: 3.5

POSCAR file:
```
NaLi2CaZn
1.0
5.174 0.000 0.000
0.000 5.174 0.000
0.000 0.000 5.694
Na Li Ca Zn
1 2 1 1
Direct
0.000 0.000 0.000
0.000 0.500 0.500
0.500 0.000 0.500
0.500 0.500 0.000
0.500 0.500 0.500
```

***

VASP calculation (PBE) on NaLiCa2Zn after structural relaxation.

Computed properties:
Final energy in eV per cell: -8.24
Space-group type: P4/mmm (123)
Density of states at the Fermi level in states/eV per cell: 3.0

POSCAR file:
```
NaLiCa2Zn
1.0
5.854 0.000 0.000
0.000 5.854 0.000
0.000 0.000 5.020
Na Li Ca Zn
1 1 2 1
Direct
0.000 0.000 0.000
0.500 0.500 0.000
0.000 0.500 0.500
0.500 0.000 0.500
0.500 0.500 0.500
```

***

VASP calculation (PBE) on LiCaNb after structural relaxation.

Computed properties:
Final energy in eV per cell: -25.96
Space-group type: Cm (8)
Distance to the lowest polymorph of the same formula in eV/atom: 0.1453
Density of states at the Fermi level in states/eV per cell: 6.1

POSCAR file:
```
LiCaNb
1.0
2.646 -1.838 0.000
2.646 1.838 0.000
-0.033 0.000 15.336
Li Ca Nb
2 2 2
Direct
0.000 0.000 0.000
0.016 0.016 0.367
0.503 0.503 0.557
0.508 0.508 0.183
0.000 0.000 0.731
0.500 0.500 0.852
```

***

VASP calculation (PBE) on LiCaNb after structural relaxation.

Computed properties:
Final energy in eV per cell: -9.91
Space-group type: F-43m (216)
Distance to the lowest polymorph of the same formula in eV/atom: 1.1682
Density of states at the Fermi level in states/eV per cell: 3.3

POSCAR file:
```
LiCaNb
1.0
0.000 3.645 3.645
3.645 0.000 3.645
3.645 3.645 0.000
Li Ca Nb
1 1 1
Direct
0.000 0.000 0.000
0.500 0.500 0.500
0.750 0.750 0.750
```

***

VASP calculation (PBE) on LiCa2Nb after structural relaxation.

Computed properties:
Final energy in eV per cell: -13.57
Space-group type: Fm-3m (225)
Distance to the lowest polymorph of the same formula in eV/atom: 0.0000
Density of states at the Fermi level in states/eV per cell: 2.4

POSCAR file:
```
LiCa2Nb
1.0
0.000 3.860 3.860
3.860 0.000 3.860
3.860 3.860 0.000
Li Ca Nb
1 2 1
Direct
0.000 0.000 0.000
0.250 0.250 0.250
0.750 0.750 0.750
0.500 0.500 0.500
```

***

VASP calculation (PBE) on LiCaNb after structural relaxation.

Computed properties:
Final energy in eV per cell: -21.99
Space-group type: P6_3/mmc (194)
Distance to the lowest polymorph of the same formula in eV/atom: 0.8076
Density of states at the Fermi level in states/eV per cell: 6.3

POSCAR file:
```
LiCaNb
1.0
5.324 0.000 0.000
-2.662 4.610 0.000
0.000 0.000 6.135
Li Ca Nb
2 2 2
Direct
0.000 0.000 0.000
0.000 0.000 0.500
0.333 0.667 0.250
0.667 0.333 0.750
0.333 0.667 0.750
0.667 0.333 0.250
```

***

VASP calculation (PBE) on LiCaNb after structural relaxation.

Computed properties:
Final energy in eV per cell: -15.51
Space-group type: P6_3/mmc (194)
Distance to the lowest polymorph of the same formula in eV/atom: 1.8875
Density of states at the Fermi level in states/eV per cell: 5.0

POSCAR file:
```
LiCaNb
1.0
4.237 0.000 0.000
-2.119 3.670 0.000
0.000 0.000 11.364
Li Ca Nb
2 2 2
Direct
0.333 0.667 0.250
0.667 0.333 0.750
0.000 0.000 0.250
0.000 0.000 0.750
0.000 0.000 0.000
0.000 0.000 0.500
```

***

VASP calculation (PBE) on LiCaNb after structural relaxation.

Computed properties:
Final energy in eV per cell: -22.23
Space-group type: P4/nmm (129)
Distance to the lowest polymorph of the same formula in eV/atom: 0.7679
Density of states at the Fermi level in states/eV per cell: 5.8

POSCAR file:
```
LiCaNb
1.0
3.947 0.000 0.000
0.000 3.947 0.000
0.000 0.000 8.589
Li Ca Nb
2 2 2
Direct
0.250 0.250 0.223
0.750 0.750 0.777
0.250 0.750 0.500
0.750 0.250 0.500
0.250 0.250 0.930
0.750 0.750 0.070
```

***

VASP calculation (PBE) on LiCaNb after structural relaxation.

Computed properties:
Final energy in eV per cell: -25.78
Space-group type: P2_1/m (11)
Distance to the lowest polymorph of the same formula in eV/atom: 0.1752
Density of states at the Fermi level in states/eV per cell: 7.0

POSCAR file:
```
LiCaNb
1.0
3.421 0.000 0.000
0.000 4.647 0.000
-1.706 0.000 8.479
Li Ca Nb
2 2 2
Direct
0.109 0.250 0.217
0.891 0.750 0.783
0.414 0.250 0.829
0.586 0.750 0.171
0.256 0.750 0.512
0.744 0.250 0.488
```

***

VASP calculation (PBE) on LiCaNb after structural relaxation.

Computed properties:
Final energy in eV per cell: -26.16
Space-group type: Cm (8)
Distance to the lowest polymorph of the same formula in eV/atom: 0.1121
Density of states at the Fermi level in states/eV per cell: 6.2

POSCAR file:
```
LiCaNb
1.0
2.661 -1.827 0.000
2.661 1.827 0.000
-0.040 0.000 15.293
Li Ca Nb
2 2 2
Direct
0.000 0.000 0.000
0.501 0.501 0.847
0.486 0.486 0.188
0.992 0.992 0.659
0.489 0.489 0.485
0.988 0.988 0.362
```

***

VASP calculation (PBE) on LiCaNb after structural relaxation.

Computed properties:
Final energy in eV per cell: -11.65
Space-group type: P-6m2 (187)
Distance to the lowest polymorph of the same formula in eV/atom: 0.5890
Density of states at the Fermi level in states/eV per cell: 4.0

POSCAR file:
```
LiCaNb
1.0
5.357 0.000 0.000
-2.679 4.639 0.000
0.000 0.000 2.752
Li Ca Nb
1 1 1
Direct
0.000 0.000 0.000
0.333 0.667 0.500
0.667 0.333 0.500
```

***

VASP calculation (PBE) on Li2CaNb after structural relaxation.

Computed properties:
Final energy in eV per cell: -25.20
Space-group type: I-42d (122)
Distance to the lowest polymorph of the same formula in eV/atom: 0.1583
Density of states at the Fermi level in states/eV per cell: 5.2

POSCAR file:
```
Li2CaNb
1.0
-3.924 3.924 3.053
3.924 -3.924 3.053
3.924 3.924 -3.053
Li Ca Nb
4 2 2
Direct
0.106 0.625 0.981
0.375 0.356 0.481
0.644 0.125 0.019
0.875 0.894 0.519
0.250 0.750 0.500
0.500 0.500 0.000
0.000 0.000 0.000
0.750 0.250 0.500
```

***

VASP calculation (PBE) on LiCaNb after structural relaxation.

Computed properties:
Final energy in eV per cell: -51.21
Space-group type: Pnma (62)
Distance to the lowest polymorph of the same formula in eV/atom: 0.2051
Density of states at the Fermi level in states/eV per cell: 8.3

POSCAR file:
```
LiCaNb
1.0
8.483 0.000 0.000
0.000 3.420 0.000
0.000 0.000 10.039
Li Ca Nb
4 4 4
Direct
0.221 0.250 0.116
0.279 0.750 0.616
0.721 0.250 0.384
0.779 0.750 0.884
0.095 0.250 0.819
0.405 0.750 0.319
0.595 0.250 0.681
0.905 0.750 0.181
0.084 0.250 0.439
0.416 0.750 0.939
0.584 0.250 0.061
0.916 0.750 0.561
```

***

VASP calculation (PBE) on LiCaNb after structural relaxation.

Computed properties:
Final energy in eV per cell: -25.44
Space-group type: Cmcm (63)
Distance to the lowest polymorph of the same formula in eV/atom: 0.2331
Density of states at the Fermi level in states/eV per cell: 3.1

POSCAR file:
```
LiCaNb
1.0
2.715 -5.629 0.000
2.715 5.629 0.000
0.000 0.000 4.705
Li Ca Nb
2 2 2
Direct
0.060 0.940 0.750
0.940 0.060 0.250
0.251 0.749 0.250
0.749 0.251 0.750
0.461 0.539 0.750
0.539 0.461 0.250
```

***

VASP calculation (PBE) on Li2CaNb after structural relaxation.

Computed properties:
Final energy in eV per cell: -13.23
Space-group type: Fm-3m (225)
Distance to the lowest polymorph of the same formula in eV/atom: 0.0000
Density of states at the Fermi level in states/eV per cell: 5.0

POSCAR file:
```
Li2CaNb
1.0
0.000 3.512 3.512
3.512 0.000 3.512
3.512 3.512 0.000
Li Ca Nb
2 1 1
Direct
0.250 0.250 0.250
0.750 0.750 0.750
0.000 0.000 0.000
0.500 0.500 0.500
```

***

VASP calculation (PBE) on LiCaNb after structural relaxation.

Computed properties:
Final energy in eV per cell: -25.41
Space-group type: Ima2 (46)
Distance to the lowest polymorph of the same formula in eV/atom: 0.2369
Density of states at the Fermi level in states/eV per cell: 5.9

POSCAR file:
```
LiCaNb
1.0
-3.077 4.549 2.547
3.077 -4.549 2.547
3.077 4.549 -2.547
Li Ca Nb
2 2 2
Direct
0.000 0.000 0.000
0.000 0.500 0.500
0.392 0.257 0.635
0.623 0.757 0.365
0.019 0.512 0.007
0.506 0.012 0.993
```

***

VASP calculation (PBE) on LiCaNb after structural relaxation.

Computed properties:
Final energy in eV per cell: -22.38
Space-group type: Cmcm (63)
Distance to the lowest polymorph of the same formula in eV/atom: 0.7421
Density of states at the Fermi level in states/eV per cell: 6.0

POSCAR file:
```
LiCaNb
1.0
2.464 -4.258 0.000
2.464 4.258 0.000
0.000 0.000 6.382
Li Ca Nb
2 2 2
Direct
0.167 0.833 0.750
0.833 0.167 0.250
0.500 0.500 0.000
0.500 0.500 0.500
0.166 0.834 0.250
0.834 0.166 0.750
```

***

VASP calculation (PBE) on LiCa3Nb after structural relaxation.

Computed properties:
Final energy in eV per cell: -13.91
Space-group type: Pm-3m (221)
Distance to the lowest polymorph of the same formula in eV/atom: 0.0000
Density of states at the Fermi level in states/eV per cell: 0.9

POSCAR file:
```
LiCa3Nb
1.0
5.650 0.000 0.000
0.000 5.650 0.000
0.000 0.000 5.650
Li Ca Nb
1 3 1
Direct
0.000 0.000 0.000
0.000 0.500 0.500
0.500 0.000 0.500
0.500 0.500 0.000
0.500 0.500 0.500
```

***

The calculated formation energy results, record by record, are as follows: -0.15, -0.24, 0.11, 0.05, 0.33, 1.36, 0.60, 1.00, 2.08, 0.96, 0.36, 0.30, 0.78, 0.83, 0.39, 0.42, 0.67, 0.43, 0.93, 0.82 eV per atom.